(1)
DFT (PBE) results for an optimized crystal structure of Sm2Fe12P7.

The structure belongs to space group P-6 (No. 174); the cell edges are 8.9975, 8.9975 and 3.6548 Å and the angles 90.00°, 90.00° and 120.00°. The distinct sites, in fractional coordinates, are Sm at (0.0000, 0.0000, 0.0000), Sm at (0.3333, 0.6667, 0.5000), Fe at (0.0371, 0.7589, 0.5000), Fe at (0.0975, 0.3815, 0.0000), Fe at (0.4522, 0.2368, 0.0000), Fe at (0.5133, 0.0599, 0.5000), P at (0.0649, 0.6231, 0.0000), P at (0.2587, 0.0354, 0.5000) and P at (0.6667, 0.3333, 0.5000).

As for the final energy: -161.29 eV for the cell shown. As for the magnetization: 0.005 μB per atom. As for the calculated volume: 12.20 Å³ per atom. As for the crystal system: hexagonal.

---

(2)
DFT (PBE) results for an optimized crystal structure of LuBSb.

The structure belongs to space group F-43m (No. 216); the cell edges are 6.733, 6.733 and 6.733 Å and the angles 90.00°, 90.00° and 90.00°. The distinct sites, in fractional coordinates, are Lu at (0.000, 0.000, 0.000), B at (0.000, 0.000, 0.500) and Sb at (0.250, 0.250, 0.750).

The calculation puts the relative energy among the computed polymorphs at 0.6279 eV/atom. As for the final energy: -50.15 eV for the cell shown. As for the magnetization: 0.001 μB per atom. As for the calculated volume: 25.44 Å³ per atom. As for the crystal system: cubic.

---

(3)
DFT (PBE) results for an optimized crystal structure of KPaGa.

The structure belongs to space group F-43m (No. 216); the cell edges are 7.248, 7.248 and 7.248 Å and the angles 90.00°, 90.00° and 90.00°. The distinct sites, in fractional coordinates, are K at (0.000, 0.000, 0.000), Pa at (0.000, 0.000, 0.500) and Ga at (0.250, 0.250, 0.250).

The calculation puts the relative energy among the computed polymorphs at 0.0000 eV/atom. As for the final energy: -43.40 eV for the cell shown. As for the magnetization: 0.333 μB per atom. As for the calculated volume: 31.73 Å³ per atom. As for the crystal system: cubic.

---

(4)
DFT (PBE) results for an optimized crystal structure of AgPAuO.

The structure belongs to space group Pmc2_1 (No. 26); the cell edges are 3.421, 6.988 and 5.413 Å and the angles 90.00°, 90.00° and 90.00°. The distinct sites, in fractional coordinates, are Ag at (0.000, 0.175, 0.000), P at (0.000, 0.476, 0.477), Au at (0.500, 0.244, 0.413) and O at (0.500, 0.044, 0.778).

The calculation puts the relative energy among the computed polymorphs at 0.0000 eV/atom. As for the final energy: -31.28 eV for the cell shown. As for the calculated volume: 16.18 Å³ per atom. As for the crystal system: orthorhombic.

---

(5)
DFT (PBE) results for an optimized crystal structure of CsInAg.

The structure belongs to space group F-43m (No. 216); the cell edges are 7.944, 7.944 and 7.944 Å and the angles 90.00°, 90.00° and 90.00°. The distinct sites, in fractional coordinates, are Cs at (0.000, 0.000, 0.000), In at (0.000, 0.000, 0.500) and Ag at (0.250, 0.250, 0.250).

The calculation puts the relative energy among the computed polymorphs at 0.0000 eV/atom. As for the final energy: -22.35 eV for the cell shown. As for the calculated volume: 41.78 Å³ per atom. As for the crystal system: cubic.

---

(6)
DFT (PBE) results for an optimized crystal structure of CdSnAu.

The structure belongs to space group P-62m (No. 189); the cell edges are 7.9115, 7.9115 and 3.7176 Å and the angles 90.00°, 90.00° and 120.00°. The distinct sites, in fractional coordinates, are Cd at (0.0000, 0.0000, 0.0000), Cd at (0.3333, 0.6667, 0.5000), Sn at (0.0000, 0.2889, 0.5000) and Au at (0.0000, 0.6082, 0.0000).

As for the final energy: -23.77 eV for the cell shown. As for the calculated volume: 22.39 Å³ per atom. As for the crystal system: hexagonal.

---

(7)
DFT (PBE) results for an optimized crystal structure of Nd4CI2Br3.

The structure belongs to space group C2/m (No. 12); the cell edges are 18.763, 4.015 and 8.545 Å and the angles 90.00°, 102.01° and 90.00°. The distinct sites, in fractional coordinates, are Nd at (0.002, 0.000, 0.297), Nd at (0.138, 0.500, 0.566), C at (0.000, 0.500, 0.500), I at (0.167, 0.000, 0.855), Br at (0.000, 0.500, 0.000) and Br at (0.169, 0.000, 0.327).

The calculation puts the relative energy among the computed polymorphs at 0.0096 eV/atom. As for the final energy: -98.80 eV for the cell shown. As for the magnetization: 0.026 μB per atom. As for the calculated volume: 31.48 Å³ per atom. As for the crystal system: monoclinic.

---

(8)
DFT (PBE) results for an optimized crystal structure of Sc3Si2Ge2Pd4.

The structure belongs to space group Immm (No. 71); the cell edges are 3.970, 6.937 and 13.470 Å and the angles 90.00°, 90.00° and 90.00°. The distinct sites, in fractional coordinates, are Sc at (0.000, 0.000, 0.000), Sc at (0.000, 0.500, 0.123), Si at (0.000, 0.000, 0.220), Ge at (0.000, 0.190, 0.500) and Pd at (0.000, 0.299, 0.323).

As for the final energy: -139.55 eV for the cell shown. As for the magnetization: 0.000 μB per atom. As for the calculated volume: 16.86 Å³ per atom. As for the crystal system: orthorhombic.